*a*
## PrHo2Ru (GGA-PBE)

Data for an optimized crystal structure of PrHo2Ru.

Results
mass density: 8.67 g cm⁻³
D(E_F): 0.9177 states/eV/atom
spin magnetization: 0.0 μB/cell

Lattice parameters (Å, degrees): 7.354 9.280 6.421 90.00 90.00 90.00
Space group Pnma (No. 62)
Symmetry-distinct sites (fractional):
Pr1 0.040 0.250 0.134 (multiplicity 4)
Ho1 0.176 0.067 0.667 (multiplicity 8)
Ru1 0.114 0.750 0.444 (multiplicity 4)


*b*
## PrHo2Ru (GGA-PBE)

Data for an optimized crystal structure of PrHo2Ru.

Results
mass density: 8.84 g cm⁻³
D(E_F): 0.6809 states/eV/atom
spin magnetization: 0.0 μB/cell

Lattice parameters (Å, degrees): 3.443 3.443 9.064 90.00 90.00 90.00
Space group P4/mmm (No. 123)
Symmetry-distinct sites (fractional):
Pr1 0.000 0.000 0.000 (multiplicity 1)
Ho1 0.500 0.500 0.321 (multiplicity 2)
Ru1 0.000 0.000 0.500 (multiplicity 1)


Of them, *a* has the highest stability.


*a*
## PrHo3Ru (GGA-PBE)

Data for an optimized crystal structure of PrHo3Ru.

Results
mass density: 7.79 g cm⁻³
D(E_F): 1.6687 states/eV/atom
spin magnetization: 0.5 μB/cell

Lattice parameters (Å, degrees): 5.394 5.394 5.394 90.00 90.00 90.00
Space group Pm-3m (No. 221)
Symmetry-distinct sites (fractional):
Pr1 0.000 0.000 0.000 (multiplicity 1)
Ho1 0.000 0.500 0.500 (multiplicity 3)
Ru1 0.500 0.500 0.500 (multiplicity 1)


*b*
## PrHo3Ru (GGA-PBE)

Data for an optimized crystal structure of PrHo3Ru.

Results
mass density: 7.99 g cm⁻³
D(E_F): 1.1563 states/eV/atom
spin magnetization: 0.0 μB/cell

Lattice parameters (Å, degrees): 7.641 6.427 6.239 90.00 90.00 90.00
Space group Pmn2_1 (No. 31)
Symmetry-distinct sites (fractional):
Pr1 0.000 0.149 0.000 (multiplicity 2)
Ho1 0.000 0.840 0.487 (multiplicity 2)
Ho2 0.249 0.326 0.493 (multiplicity 4)
Ru1 0.000 0.505 0.741 (multiplicity 2)


Of them, *b* has the highest stability.